First-principles (PBE-GGA) data for a relaxed structure of KUTeO6, as listed in the Alexandria database.

## Properties
magnetization	1.93	μB/cell
DOS(E_F)	6.118	states/eV/cell
total energy	-7.040	eV/atom
energy relative to the elements, uncorrected	-2.009	eV/atom

Unit cell a=5.6788 b=5.6788 c=11.6834 alpha=90.00 beta=90.00 gamma=120.00
Last column: magnetic moment on the atom in μB.
Element x y z (fractional)
K  0.0000  0.0000  0.0000  0.00
K  0.0000  0.0000  0.5000  0.00
U  0.3333  0.6667  0.2500  0.54
U  0.6667  0.3333  0.7500  0.54
Te  0.6667  0.3333  0.2500  0.14
Te  0.3333  0.6667  0.7500  0.14
O  0.6230  0.6101  0.1554  0.03
O  0.9871  0.3770  0.1554  0.03
O  0.3770  0.9871  0.6554  0.03
O  0.0129  0.6230  0.8446  0.03
O  0.3899  0.3770  0.3446  0.03
O  0.9871  0.6101  0.3446  0.03
O  0.6101  0.9871  0.8446  0.03
O  0.6230  0.0129  0.3446  0.03
O  0.0129  0.3899  0.6554  0.03
O  0.3899  0.0129  0.1554  0.03
O  0.6101  0.6230  0.6554  0.03
O  0.3770  0.3899  0.8446  0.03